No. 1
Here is an optimized crystal structure of Ho2AlF8 from Alexandria via LeMat-Bulk. Energies are from PBE.

Cell and atoms, written as extended XYZ:
```
11
Lattice="4.508 -0.690 -0.574 -0.635 5.794 0.166 -0.635 1.223 5.666" Properties=species:S:1:pos:R:3 pbc="T T T"
Ho 2.425 1.880 1.563
Ho 0.814 4.447 3.696
Al 0.000 0.000 0.000
F 2.890 0.586 3.485
F 0.349 2.794 5.320
F 3.317 0.319 0.265
F -0.078 6.008 4.994
F 2.890 3.533 -0.061
F 0.349 5.741 1.774
F 0.277 2.773 2.305
F 2.962 3.554 2.954
```

Summary:
The formation energy without anion corrections comes out at -3635 meV per atom.

***

No. 2
Here is an optimized crystal structure of HoAl2F8 from Alexandria via LeMat-Bulk. Energies are from PBE.

Cell and atoms, written as extended XYZ:
```
11
Lattice="-1.974 -2.505 3.351 -1.609 -3.681 -4.566 3.598 -4.445 -2.069" Properties=species:S:1:pos:R:3 pbc="T T T"
Ho 0.000 0.000 0.000
Al -0.474 -3.540 -0.094
Al 0.489 -7.091 -3.190
F 0.785 -4.699 0.752
F 2.162 -6.362 -2.630
F -1.228 -3.438 1.510
F 1.243 -7.193 -4.794
F -2.147 -4.269 -0.654
F -0.770 -5.932 -4.036
F 0.225 -3.803 -1.634
F -0.210 -6.828 -1.650
```

Summary:
The formation energy without anion corrections comes out at -3277 meV per atom.